Density functional theory data (PBE) for crystalline MnCoSe4 at its relaxed geometry.

Energy relative to the elements, uncorrected   0.96 eV per atom
Total magnetization   6.99 Bohr magnetons per cell

Cell: 5.628 5.628 5.628 Å, 60.00 60.00 60.00°
Element x y z (fractional)
Mn1 0.000 0.000 0.000
Co1 0.750 0.750 0.750
Se1 0.873 0.376 0.376
Se2 0.376 0.376 0.873
Se3 0.376 0.873 0.376
Se4 0.376 0.376 0.376